# GGA-PBE Tb2Y5Er12, relaxed
# Formation enthalpy at 0 K, eV per atom: 0.12
# E_tot, Ha/atom: -0.18174
# ΔE to the lowest computed polymorph, meV/atom: 100
data_Tb2Y5Er12
_cell_length_a 15.7470
_cell_length_b 9.1197
_cell_length_c 8.4646
_cell_angle_alpha 90.00
_cell_angle_beta 91.33
_cell_angle_gamma 90.00
_space_group_name_H-M_alt 'C 1 2/m 1'
_space_group_IT_number 12
loop_
_space_group_symop_operation_xyz
'x,y,z'
'-x,-y,-z'
'-x,y,-z'
'x,-y,z'
'x+1/2,y+1/2,z'
'-x+1/2,-y+1/2,-z'
'-x+1/2,y+1/2,-z'
'x+1/2,-y+1/2,z'
loop_
_atom_site_label
_atom_site_type_symbol
_atom_site_fract_x
_atom_site_fract_y
_atom_site_fract_z
_atom_site_occupancy
Tb1 Tb 0.0000 0.1799 0.0000 1
Y1 Y 0.0000 0.5000 0.5000 1
Y2 Y 0.1992 0.0000 0.0088 1
Y3 Y 0.2335 0.5000 0.5746 1
Er1 Er 0.0560 0.0000 0.3336 1
Er2 Er 0.0910 0.5000 0.8854 1
Er3 Er 0.1268 0.1930 0.6600 1
Er4 Er 0.1544 0.3182 0.2448 1

# GGA-PBE Tb2YEr2, relaxed
# Formation enthalpy at 0 K, eV per atom: 0.08
# E_tot, Ha/atom: -0.17980
# ΔE to the lowest computed polymorph, meV/atom: 0
data_Tb2YEr2
_cell_length_a 9.2478
_cell_length_b 9.2478
_cell_length_c 3.7136
_cell_angle_alpha 90.00
_cell_angle_beta 90.00
_cell_angle_gamma 90.00
_space_group_name_H-M_alt 'P 4/m b m'
_space_group_IT_number 127
_space_group_name_Hall '-P 4 2ab'
loop_
_atom_site_label
_atom_site_type_symbol
_atom_site_fract_x
_atom_site_fract_y
_atom_site_fract_z
_atom_site_occupancy
Tb1 Tb 0.1283 0.3717 0.0000 1
Y1 Y 0.0000 0.0000 0.0000 1
Er1 Er 0.1698 0.6698 0.5000 1

# GGA-PBE Tb3Y2Er8, relaxed
# Formation enthalpy at 0 K, eV per atom: 0.25
# E_tot, Ha/atom: -0.16993
# ΔE to the lowest computed polymorph, meV/atom: 85
data_Tb3Y2Er8
_cell_length_a 20.2358
_cell_length_b 7.5785
_cell_length_c 5.5538
_cell_angle_alpha 90.00
_cell_angle_beta 90.03
_cell_angle_gamma 90.00
_space_group_name_H-M_alt 'C 1 2/m 1'
_space_group_IT_number 12
loop_
_space_group_symop_operation_xyz
'x,y,z'
'-x,-y,-z'
'-x,y,-z'
'x,-y,z'
'x+1/2,y+1/2,z'
'-x+1/2,-y+1/2,-z'
'-x+1/2,y+1/2,-z'
'x+1/2,-y+1/2,z'
loop_
_atom_site_label
_atom_site_type_symbol
_atom_site_fract_x
_atom_site_fract_y
_atom_site_fract_z
_atom_site_occupancy
Tb1 Tb 0.0000 0.0000 0.0000 1
Tb2 Tb 0.0000 0.2865 0.5000 1
Y1 Y 0.2413 0.0000 0.9991 1
Er1 Er 0.1083 0.2882 0.0004 1
Er2 Er 0.1320 0.0000 0.4998 1
Er3 Er 0.1654 0.5000 0.5008 1